[1]
Material: K2ScGe2S6
Method: DFT, GGA-PBE
State: relaxed

Cell: 7.0447 6.4803 8.2726 Å, 105.48 90.00 122.93°
Last column: nearest neighbours and their distance in Å.
Fractional positions:
Sc1 0.5000 0.0000 0.5000  6 S 2.60-2.63
Ge1 0.9594 0.9188 0.6264  3 S 2.22
Ge2 0.0406 0.0812 0.3736  3 S 2.22
S1 0.3090 0.0858 0.7601  1 Ge 2.22
S2 0.2231 0.9142 0.2399  1 Ge 2.22
S3 0.7769 0.0858 0.7601  1 Ge 2.22
S4 0.2561 0.5122 0.4759  1 Ge 2.22
S5 0.7439 0.4878 0.5241  1 Ge 2.22
S6 0.6910 0.9142 0.2399  1 Ge 2.22
K1 0.6880 0.3760 0.1294  7 S 3.13-3.39
K2 0.3120 0.6240 0.8706  7 S 3.13-3.39

Total energy: -52.00 eV/cell
Density of states at the Fermi level: 4.86 states/eV/cell
Formation energy without anion corrections: -0.861 eV/atom

=====

[2]
Material: CrTe2P
Method: DFT, GGA-PBE
State: relaxed

Cell: 3.8211 7.9466 3.8235 Å, 90.00 90.00 90.00°
Last column: nearest neighbours and their distance in Å.
Fractional positions:
P1 0.0000 0.5000 0.5000  4 Te 2.70
Cr1 0.5000 0.0000 0.5000  4 Te 2.70
Te1 0.0000 0.0000 0.0000  4 Cr 2.70
Te2 0.5000 0.5000 0.0000  4 P 2.70

Total energy: -19.53 eV/cell
Density of states at the Fermi level: 3.22 states/eV/cell
Formation energy without anion corrections: 0.448 eV/atom

=====

[3]
Material: ZrBr3
Method: DFT, GGA-PBE
State: relaxed

Cell: 7.4257 7.4257 6.2619 Å, 90.00 90.00 120.00°
Last column: nearest neighbours and their distance in Å.
Fractional positions:
Br1 0.2991 0.2991 0.7500  2 Zr 2.72
Br2 0.2991 0.0000 0.2500  2 Zr 2.72
Br3 0.7009 0.0000 0.7500  2 Zr 2.72
Br4 0.7009 0.7009 0.2500  2 Zr 2.72
Br5 0.0000 0.2991 0.2500  2 Zr 2.72
Br6 0.0000 0.7009 0.7500  2 Zr 2.72
Zr1 0.0000 0.0000 0.0000  6 Br 2.72
Zr2 0.0000 0.0000 0.5000  6 Br 2.72

Total energy: -38.15 eV/cell
Density of states at the Fermi level: 0.55 states/eV/cell
Formation energy without anion corrections: -1.377 eV/atom

=====

[4]
Material: PmDy2HoBi4
Method: DFT, GGA-PBE
State: relaxed

Cell: 4.5015 7.7914 7.7908 Å, 70.52 90.00 90.00°
Last column: nearest neighbours and their distance in Å.
Fractional positions:
Bi1 0.5000 0.2483 0.7470  3 Dy 3.15-3.19, 2 Ho 3.18, 1 Pm 3.21
Bi2 0.0000 0.7542 0.7450  3 Dy 3.15-3.19, 1 Ho 3.18, 2 Pm 3.21
Bi3 0.0000 0.2458 0.2550  3 Dy 3.15-3.19, 1 Ho 3.18, 2 Pm 3.21
Bi4 0.5000 0.7517 0.2530  3 Dy 3.15-3.19, 2 Ho 3.18, 1 Pm 3.21
Ho1 0.0000 0.5000 0.5000  6 Bi 3.18
Pm1 0.5000 0.5000 0.0000  6 Bi 3.21
Dy1 0.0000 0.0000 0.0000  6 Bi 3.19
Dy2 0.5000 0.0000 0.5000  6 Bi 3.15

ΔE_f: -84.0 kJ per mole of atoms
Total energy: -41.02 eV/cell
Density of states at the Fermi level: 1.24 states/eV/cell